## Ce2SmDy6Tm3 (PBE)

Data for crystalline Ce2SmDy6Tm3 at its relaxed geometry.

M_tot = 1.84 μB per formula unit
E_tot = -113.99 eV per cell

Cell lengths 6.1137, 10.5878, 11.7044 Å; angles 90.00, 100.04, 90.00 degrees
Space group C2/m (No. 12)
Unique sites:
Ce: 0.0000 0.1667 0.0000 x4
Sm: 0.0000 0.5000 0.0000 x2
Dy: 0.2476 0.1679 0.7486 x8
Dy: 0.2486 0.0000 0.2513 x4
Tm: 0.0000 0.0000 0.5000 x2
Tm: 0.0000 0.3337 0.5000 x4

## AlGaRe (PBE)

Data for crystalline AlGaRe at its relaxed geometry.

excess energy over the best structure of this formula in the dataset = 0 kJ/mol of formula units
M_tot = 0.00 μB per formula unit

Cell lengths 4.4225, 4.4225, 2.6912 Å; angles 90.00, 90.00, 120.00 degrees
Space group P3m1 (No. 156)
Unique sites:
Al: 0.0000 0.0000 0.0000 x1
Ga: 0.3333 0.6667 0.6227 x1
Re: 0.6667 0.3333 0.4759 x1